# La2ZrRe, optimized geometry, DFT PBE
data_La2ZrRe
_chemical_formula_sum 'La2 Zr1 Re1'
_cell_length_a 4.5476
_cell_length_b 3.3796
_cell_length_c 6.7145
_cell_angle_alpha 75.75
_cell_angle_beta 90.00
_cell_angle_gamma 90.00
_space_group_name_H-M_alt 'P 1'
_space_group_IT_number 1
loop_
_space_group_symop_operation_xyz
'x,y,z'
loop_
_atom_site_label
_atom_site_type_symbol
_atom_site_fract_x
_atom_site_fract_y
_atom_site_fract_z
La1 La 0.0000 0.0089 0.9714
La2 La 0.5000 0.2774 0.2872
Re1 Re 0.0000 0.4927 0.5360
Zr1 Zr 0.5000 0.7210 0.7054
# Fermi-level density of states (states/eV/f.u.): 4.5
# Energy of formation from the pure elements (meV/atom): 260
# E_tot (eV per cell): -29.8
# E above lowest polymorph (eV/atom): 0.153
# SG: No. 6

***

# AlPSe, optimized geometry, DFT PBE
data_AlPSe
_chemical_formula_sum 'Al1 P1 Se1'
_cell_length_a 3.2233
_cell_length_b 3.2233
_cell_length_c 7.4876
_cell_angle_alpha 90.00
_cell_angle_beta 90.00
_cell_angle_gamma 120.00
_space_group_name_H-M_alt 'P 1'
_space_group_IT_number 1
loop_
_space_group_symop_operation_xyz
'x,y,z'
loop_
_atom_site_label
_atom_site_type_symbol
_atom_site_fract_x
_atom_site_fract_y
_atom_site_fract_z
P1 P 0.6667 0.3333 0.2301
Al1 Al 0.0000 0.0000 0.9995
Se1 Se 0.3333 0.6667 0.7704
# Formation energy (no corrections) (eV/atom): -0.02
# Fermi-level density of states (states/eV/f.u.): 1.6
# E_tot (eV per cell): -12.7
# SG: No. 156